Compound: Ta3Pt2
Source: the Alexandria database
Functional: GGA-PBE
Structure: relaxed

Cell lengths 12.164, 12.164, 12.164 Å; angles 13.50, 13.50, 13.50 degrees
Positions (direct):
Pt 0.601 0.601 0.601
Pt 0.399 0.399 0.399
Ta 0.797 0.797 0.797
Ta 0.000 0.000 0.000
Ta 0.203 0.203 0.203

Values from the calculation:
space-group type: R-3m (166)
energy above the most stable polymorph in this dataset: 231 meV per atom



Compound: ZrCdMo2
Source: the Alexandria database
Functional: GGA-PBE
Structure: relaxed

Cell lengths 7.543, 7.543, 6.021 Å; angles 51.22, 51.22, 90.00 degrees
Positions (direct):
Zr 0.500 0.500 0.000
Zr 0.250 0.750 0.500
Mo 0.875 0.880 0.750
Mo 0.630 0.125 0.250
Mo 0.375 0.370 0.750
Mo 0.120 0.625 0.250
Cd 0.000 0.000 0.000
Cd 0.750 0.250 0.500

Values from the calculation:
space-group type: I-42d (122)



| no. | formation energy from the elements (meV per atom) | magnetic moment (μB/cell) | ρ (g/cm3) |
| --- | --- | --- | --- |
| 1 | -244 | 0.0 | 18.17 |
| 2 | 919 | 0.0 | 8.26 |